An optimized crystal structure of La3PmDy2S6, computed with PBE-GGA.

```
data_La3PmDy2S6
_cell_length_a 6.9843
_cell_length_b 12.1236
_cell_length_c 7.0602
_cell_angle_alpha 90.00
_cell_angle_beta 109.35
_cell_angle_gamma 90.00
_symmetry_space_group_name_H-M 'C 1 2/m 1'
_symmetry_Int_Tables_number 12
_symmetry_space_group_name_Hall '-C 2y'
loop_
_atom_site_label
_atom_site_fract_x
_atom_site_fract_y
_atom_site_fract_z
La1 0.0000 0.0000 0.0000
La2 0.0000 0.3359 0.0000
Pm1 0.0000 0.5000 0.5000
Dy1 0.0000 0.1666 0.5000
S1 0.2367 0.0000 0.7318
S2 0.2482 0.3298 0.7343
```

An optimized crystal structure of La4PmDy3S8, computed with PBE-GGA.

```
data_La4PmDy3S8
_cell_length_a 8.0569
_cell_length_b 8.0569
_cell_length_c 20.0095
_cell_angle_alpha 90.00
_cell_angle_beta 90.00
_cell_angle_gamma 120.00
_symmetry_space_group_name_H-M 'R -3 m'
_symmetry_Int_Tables_number 166
_symmetry_space_group_name_Hall '-R 3 2"'
loop_
_atom_site_label
_atom_site_fract_x
_atom_site_fract_y
_atom_site_fract_z
La1 0.0000 0.0000 0.0000
La2 0.0000 0.5000 0.0000
Pm1 0.0000 0.0000 0.5000
Dy1 0.0000 0.5000 0.5000
S1 0.0000 0.0000 0.2430
S2 0.0059 0.5030 0.7557
```

Formation energy from raw total energies readings, ordered: -25.1 -33.4 eV/f.u.